1.
The following is a PBE calculation of a relaxed TaInBi3 crystal, from Alexandria.

abc: 5.555 5.555 5.555
angles: 90.00 90.00 90.00
Fractional positions:
1 Ta 0.000 0.000 0.000
2 In 0.500 0.500 0.500
3 Bi 0.000 0.000 0.500
4 Bi 0.000 0.500 0.000
5 Bi 0.500 0.000 0.000

Results
E: -4.78 eV/atom
Calculated volume: 34.29 Å³/atom
N(E_F): 3.94 states/eV/cell
Energy of formation from the pure elements: 0.46 eV/atom

=====

2.
The following is a PBE calculation of a relaxed Ta2In2Bi crystal, from Alexandria.

abc: 4.040 4.040 14.591
angles: 90.00 90.00 90.00
Fractional positions:
1 Ta 0.000 0.500 0.250
2 Ta 0.000 0.500 0.750
3 Ta 0.500 0.000 0.250
4 Ta 0.500 0.000 0.750
5 In 0.000 0.000 0.102
6 In 0.000 0.000 0.898
7 In 0.500 0.500 0.398
8 In 0.500 0.500 0.602
9 Bi 0.000 0.000 0.500
10 Bi 0.500 0.500 0.000

Results
E: -6.02 eV/atom
Calculated volume: 23.82 Å³/atom
N(E_F): 7.85 states/eV/cell
Energy of formation from the pure elements: 0.59 eV/atom

=====

3.
The following is a PBE calculation of a relaxed TaInBi3 crystal, from Alexandria.

abc: 5.576 5.576 5.576
angles: 90.00 90.00 90.00
Fractional positions:
1 Ta 0.000 0.000 0.000
2 In 0.500 0.500 0.500
3 Bi 0.000 0.500 0.500
4 Bi 0.500 0.000 0.500
5 Bi 0.500 0.500 0.000

Results
E: -3.62 eV/atom
Calculated volume: 34.67 Å³/atom
N(E_F): 8.98 states/eV/cell
Energy of formation from the pure elements: 1.62 eV/atom

=====

4.
The following is a PBE calculation of a relaxed TaInBi2 crystal, from Alexandria.

abc: 3.241 3.241 36.557
angles: 90.00 90.00 120.00
Fractional positions:
1 Ta 0.000 0.000 0.000
2 Ta 0.333 0.667 0.667
3 Ta 0.667 0.333 0.333
4 In 0.000 0.000 0.500
5 In 0.333 0.667 0.167
6 In 0.667 0.333 0.833
7 Bi 0.000 0.000 0.081
8 Bi 0.000 0.000 0.919
9 Bi 0.333 0.667 0.586
10 Bi 0.333 0.667 0.748
11 Bi 0.667 0.333 0.252
12 Bi 0.667 0.333 0.414

Results
E: -4.96 eV/atom
Calculated volume: 27.71 Å³/atom
N(E_F): 13.74 states/eV/cell
Energy of formation from the pure elements: 0.63 eV/atom

=====

5.
The following is a PBE calculation of a relaxed TaInBiTe2 crystal, from Alexandria.

abc: 5.454 5.454 5.612
angles: 90.00 90.00 90.00
Fractional positions:
1 Ta 0.000 0.000 0.000
2 In 0.500 0.500 0.500
3 Bi 0.000 0.000 0.500
4 Te 0.000 0.500 0.000
5 Te 0.500 0.000 0.000

Results
E: -4.74 eV/atom
Calculated volume: 33.39 Å³/atom
N(E_F): 3.54 states/eV/cell

=====

6.
The following is a PBE calculation of a relaxed TaTiInBi2 crystal, from Alexandria.

abc: 5.560 5.560 5.123
angles: 90.00 90.00 90.00
Fractional positions:
1 Ta 0.000 0.000 0.000
2 Ti 0.000 0.000 0.500
3 In 0.500 0.500 0.000
4 Bi 0.000 0.500 0.500
5 Bi 0.500 0.000 0.500

Results
E: -5.20 eV/atom
Calculated volume: 31.67 Å³/atom
N(E_F): 6.32 states/eV/cell
Energy of formation from the pure elements: 0.85 eV/atom

=====

7.
The following is a PBE calculation of a relaxed TbInBi2 crystal, from Alexandria.

abc: 4.214 4.214 6.672
angles: 90.00 90.00 90.00
Fractional positions:
1 Tb 0.000 0.000 0.000
2 In 0.000 0.000 0.500
3 Bi 0.500 0.500 0.239
4 Bi 0.500 0.500 0.761

Results
E: -4.18 eV/atom
Calculated volume: 29.62 Å³/atom
N(E_F): 2.93 states/eV/cell
Energy of formation from the pure elements: -0.40 eV/atom

=====

8.
The following is a PBE calculation of a relaxed Tb2InBi crystal, from Alexandria.

abc: 4.239 4.239 24.211
angles: 90.00 90.00 120.00
Fractional positions:
1 Tb 0.000 0.000 0.246
2 Tb 0.000 0.000 0.754
3 Tb 0.333 0.667 0.421
4 Tb 0.333 0.667 0.913
5 Tb 0.667 0.333 0.087
6 Tb 0.667 0.333 0.579
7 In 0.000 0.000 0.000
8 In 0.333 0.667 0.667
9 In 0.667 0.333 0.333
10 Bi 0.000 0.000 0.500
11 Bi 0.333 0.667 0.167
12 Bi 0.667 0.333 0.833

Results
E: -4.48 eV/atom
Calculated volume: 31.40 Å³/atom
N(E_F): 6.17 states/eV/cell
Energy of formation from the pure elements: -0.51 eV/atom

=====

9.
The following is a PBE calculation of a relaxed Tb2InBi crystal, from Alexandria.

abc: 4.038 4.038 6.915
angles: 90.00 90.00 90.00
Fractional positions:
1 Tb 0.000 0.000 0.248
2 Tb 0.000 0.000 0.752
3 In 0.500 0.500 0.500
4 Bi 0.500 0.500 0.000

Results
E: -4.52 eV/atom
Calculated volume: 28.18 Å³/atom
N(E_F): 3.21 states/eV/cell
Energy of formation from the pure elements: -0.55 eV/atom

=====

10.
The following is a PBE calculation of a relaxed Tb2InBi crystal, from Alexandria.

abc: 4.192 4.192 25.170
angles: 90.00 90.00 120.00
Fractional positions:
1 Tb 0.000 0.000 0.000
2 Tb 0.000 0.000 0.178
3 Tb 0.333 0.667 0.667
4 Tb 0.333 0.667 0.844
5 Tb 0.667 0.333 0.333
6 Tb 0.667 0.333 0.511
7 In 0.000 0.000 0.422
8 In 0.333 0.667 0.088
9 In 0.667 0.333 0.755
10 Bi 0.000 0.000 0.590
11 Bi 0.333 0.667 0.257
12 Bi 0.667 0.333 0.923

Results
E: -4.41 eV/atom
Calculated volume: 31.92 Å³/atom
N(E_F): 7.17 states/eV/cell
Energy of formation from the pure elements: -0.44 eV/atom

=====

11.
The following is a PBE calculation of a relaxed TbInBi2 crystal, from Alexandria.

abc: 4.739 4.739 20.817
angles: 90.00 90.00 120.00
Fractional positions:
1 Tb 0.000 0.000 0.000
2 Tb 0.333 0.667 0.667
3 Tb 0.667 0.333 0.333
4 In 0.000 0.000 0.168
5 In 0.333 0.667 0.835
6 In 0.667 0.333 0.502
7 Bi 0.000 0.000 0.409
8 Bi 0.000 0.000 0.586
9 Bi 0.333 0.667 0.076
10 Bi 0.333 0.667 0.253
11 Bi 0.667 0.333 0.742
12 Bi 0.667 0.333 0.919

Results
E: -4.00 eV/atom
Calculated volume: 33.74 Å³/atom
N(E_F): 7.63 states/eV/cell
Energy of formation from the pure elements: -0.22 eV/atom

=====

12.
The following is a PBE calculation of a relaxed TbInBi crystal, from Alexandria.

abc: 5.429 5.429 3.418
angles: 90.00 90.00 120.00
Fractional positions:
1 Tb 0.000 0.000 0.000
2 In 0.667 0.333 0.498
3 Bi 0.333 0.667 0.503

Results
E: -4.04 eV/atom
Calculated volume: 29.08 Å³/atom
N(E_F): 2.20 states/eV/cell
Energy of formation from the pure elements: -0.29 eV/atom

=====

13.
The following is a PBE calculation of a relaxed TbIn2Bi crystal, from Alexandria.

abc: 4.799 4.799 4.737
angles: 90.00 90.00 90.00
Fractional positions:
1 Tb 0.000 0.000 0.000
2 In 0.000 0.500 0.500
3 In 0.500 0.000 0.500
4 Bi 0.500 0.500 0.000

Results
E: -3.88 eV/atom
Calculated volume: 27.28 Å³/atom
N(E_F): 1.47 states/eV/cell
Energy of formation from the pure elements: -0.38 eV/atom